Entry 1:
! HfZr2ScN PBE optimized geometry; values from VASP
! Fermi-level density of states: 1.01 states/eV per atom
! magnetic moment: 0.0 μB per formula unit
! ΔE_f (raw): -664 meV/atom
! E_tot: -9.005 eV per atom
! energy above the most stable polymorph in this dataset: 0.18 eV per formula unit
&SYSTEM
  ibrav = 0, nat = 5, ntyp = 4
/
ATOMIC_SPECIES
Hf 178.49 Hf.upf
Zr 91.22 Zr.upf
Sc 44.96 Sc.upf
N 14.01 N.upf
ATOMIC_POSITIONS crystal
Hf 0.0000 0.0000 0.0000
Zr 0.0000 0.5000 0.5000
Zr 0.5000 0.0000 0.5000
Sc 0.5000 0.5000 0.0000
N 0.5000 0.5000 0.5000
CELL_PARAMETERS angstrom
4.6134 0.0000 0.0000
0.0000 4.6134 0.0000
0.0000 0.0000 4.4115

---

Entry 2:
! CsHoCoI6 PBE optimized geometry; values from VASP
! Fermi-level density of states: 0.18 states/eV per atom
! magnetic moment: 3.0 μB per formula unit
! ΔE_f (raw): -929 meV/atom
! E_tot: -3.356 eV per atom
&SYSTEM
  ibrav = 0, nat = 9, ntyp = 4
/
ATOMIC_SPECIES
Cs 132.91 Cs.upf
Ho 164.93 Ho.upf
Co 58.93 Co.upf
I 126.90 I.upf
ATOMIC_POSITIONS crystal
Cs 0.0000 0.0000 0.0000
Ho 0.3334 0.6666 0.5000
Co 0.6674 0.3326 0.5000
I 0.3804 0.0197 0.6909
I 0.3861 0.3671 0.3065
I 0.6329 0.6139 0.6935
I 0.6394 0.0198 0.3101
I 0.9802 0.3606 0.6899
I 0.9803 0.6196 0.3091
CELL_PARAMETERS angstrom
3.7974 -6.5992 0.0000
3.7974 6.5992 0.0000
-0.0405 0.0000 8.7492

---

Entry 3:
! KSi2Hg PBE optimized geometry; values from VASP
! Fermi-level density of states: 0.60 states/eV per atom
! magnetic moment: 0.0 μB per formula unit
! ΔE_f (raw): 625 meV/atom
! E_tot: -2.437 eV per atom
&SYSTEM
  ibrav = 0, nat = 4, ntyp = 3
/
ATOMIC_SPECIES
K 39.10 K.upf
Si 28.09 Si.upf
Hg 200.59 Hg.upf
ATOMIC_POSITIONS crystal
K 0.0000 0.0000 0.0000
Si 0.2500 0.7500 0.5000
Si 0.7500 0.2500 0.5000
Hg 0.5000 0.5000 0.0000
CELL_PARAMETERS angstrom
-2.1100 2.1100 5.3454
2.1100 -2.1100 5.3454
2.1100 2.1100 -5.3454

---

Entry 4:
! Hf2TiTl PBE optimized geometry; values from VASP
! Fermi-level density of states: 0.80 states/eV per atom
! magnetic moment: 0.0 μB per formula unit
! calculated formation energy: 0.036 eV per atom
! E_tot: -7.506 eV per atom
! energy above the most stable polymorph in this dataset: 0.01 eV per formula unit
&SYSTEM
  ibrav = 0, nat = 4, ntyp = 3
/
ATOMIC_SPECIES
Hf 178.49 Hf.upf
Ti 47.87 Ti.upf
Tl 204.38 Tl.upf
ATOMIC_POSITIONS crystal
Hf 0.0000 0.5000 0.0000
Hf 0.5000 0.0000 0.0000
Ti 0.0000 0.0000 0.5000
Tl 0.5000 0.5000 0.5000
CELL_PARAMETERS angstrom
4.3608 0.0000 0.0000
0.0000 4.3608 0.0000
0.0000 0.0000 4.3616

---

Entry 5:
! InAsSe2 PBE optimized geometry; values from VASP
! Fermi-level density of states: 0.39 states/eV per atom
! magnetic moment: 0.0 μB per formula unit
! ΔE_f (raw): -105 meV/atom
! E_tot: -3.695 eV per atom
&SYSTEM
  ibrav = 0, nat = 4, ntyp = 3
/
ATOMIC_SPECIES
In 114.82 In.upf
As 74.92 As.upf
Se 78.96 Se.upf
ATOMIC_POSITIONS crystal
In 0.0000 0.0000 0.0000
As 0.5622 0.5000 0.5180
Se 0.3467 0.0000 0.5630
Se 0.4454 0.5000 0.0834
CELL_PARAMETERS angstrom
3.9269 0.0000 0.0000
0.0000 4.9100 0.0000
-1.6283 0.0000 5.3883

---

Entry 6:
! NaTa2O6 PBE optimized geometry; values from VASP
! Fermi-level density of states: 0.52 states/eV per atom
! magnetic moment: 0.4 μB per formula unit
! ΔE_f (raw): -2295 meV/atom
! E_tot: -8.381 eV per atom
! energy above the most stable polymorph in this dataset: 0.93 eV per formula unit
&SYSTEM
  ibrav = 0, nat = 9, ntyp = 3
/
ATOMIC_SPECIES
Na 22.99 Na.upf
Ta 180.95 Ta.upf
O 16.00 O.upf
ATOMIC_POSITIONS crystal
Na 0.0000 0.0000 0.0000
Ta 0.3333 0.6667 0.6672
Ta 0.6667 0.3333 0.3328
O 0.0000 0.0000 0.3107
O 0.0000 0.0000 0.6893
O 0.3333 0.6667 0.4161
O 0.3333 0.6667 0.8619
O 0.6667 0.3333 0.1381
O 0.6667 0.3333 0.5839
CELL_PARAMETERS angstrom
3.6217 0.0000 0.0000
-1.8108 3.1365 0.0000
0.0000 0.0000 9.3095

---

Entry 7:
! InTc2Se PBE optimized geometry; values from VASP
! Fermi-level density of states: 1.23 states/eV per atom
! magnetic moment: 0.1 μB per formula unit
! ΔE_f (raw): 237 meV/atom
! E_tot: -6.501 eV per atom
! energy above the most stable polymorph in this dataset: 0.66 eV per formula unit
&SYSTEM
  ibrav = 0, nat = 4, ntyp = 3
/
ATOMIC_SPECIES
In 114.82 In.upf
Tc 98.00 Tc.upf
Se 78.96 Se.upf
ATOMIC_POSITIONS crystal
In 0.0000 0.0000 0.0000
Tc 0.0000 0.5000 0.3295
Tc 0.5000 0.0000 0.4832
Se 0.5000 0.5000 0.7104
CELL_PARAMETERS angstrom
3.0512 0.0000 0.0000
0.0000 4.6743 0.0000
0.0000 0.0000 4.9583

---

Entry 8:
! SrEuCdHg PBE optimized geometry; values from VASP
! Fermi-level density of states: 2.47 states/eV per atom
! magnetic moment: 7.2 μB per formula unit
! calculated formation energy: -0.433 eV per atom
! E_tot: -3.726 eV per atom
&SYSTEM
  ibrav = 0, nat = 4, ntyp = 4
/
ATOMIC_SPECIES
Sr 87.62 Sr.upf
Eu 151.96 Eu.upf
Cd 112.41 Cd.upf
Hg 200.59 Hg.upf
ATOMIC_POSITIONS crystal
Sr 0.0000 0.0000 0.0000
Eu 0.5000 0.5000 0.5000
Cd 0.7500 0.7500 0.7500
Hg 0.2500 0.2500 0.2500
CELL_PARAMETERS angstrom
0.0000 3.9725 3.9725
3.9725 0.0000 3.9725
3.9725 3.9725 0.0000